[1]
{"formula": "Pu2TlSb", "functional": "PBE-GGA", "state": "optimized geometry", "spacegroup": "P4/mmm, No. 123", "formation_energy_uncorrected_ev_per_atom": -0.3338, "e_above_lowest_polymorph_kcal_per_mol_atoms": 0.000, "cell": [[4.871, 0.000, 0.000], [0.000, 4.871, 0.000], [0.000, 0.000, 4.523]], "species": ["Pu", "Pu", "Tl", "Sb"], "frac_coords": [[0.000, 0.500, 0.000], [0.500, 0.000, 0.000], [0.000, 0.000, 0.500], [0.500, 0.500, 0.500]]}


[2]
{"formula": "Ti2IrOs2", "functional": "PBE-GGA", "state": "optimized geometry", "spacegroup": "C2/m, No. 12", "formation_energy_ev_per_atom": -0.56, "e_above_lowest_polymorph_kcal_per_mol_atoms": 0.000, "cell": [[7.027, -2.109, 0.000], [7.027, 2.109, 0.000], [-1.948, 0.000, 4.999]], "species": ["Ti", "Ti", "Ti", "Ti", "Ir", "Ir", "Os", "Os", "Os", "Os"], "frac_coords": [[0.086, 0.086, 0.333], [0.300, 0.300, 0.229], [0.700, 0.700, 0.771], [0.914, 0.914, 0.667], [0.113, 0.113, 0.871], [0.887, 0.887, 0.129], [0.299, 0.299, 0.711], [0.500, 0.500, 0.000], [0.500, 0.500, 0.500], [0.701, 0.701, 0.289]]}


[3]
{"formula": "NaPCl2", "functional": "PBE-GGA", "state": "optimized geometry", "spacegroup": "R-3m, No. 166", "formation_energy_uncorrected_ev_per_atom": -0.5688, "e_above_lowest_polymorph_kcal_per_mol_atoms": 0.000, "cell": [[3.609, 0.000, 0.000], [-1.804, 3.125, 0.000], [0.000, 0.000, 24.570]], "species": ["Na", "Na", "Na", "P", "P", "P", "Cl", "Cl", "Cl", "Cl", "Cl", "Cl"], "frac_coords": [[0.000, 0.000, 0.000], [0.333, 0.667, 0.667], [0.667, 0.333, 0.333], [0.000, 0.000, 0.500], [0.333, 0.667, 0.167], [0.667, 0.333, 0.833], [0.000, 0.000, 0.404], [0.000, 0.000, 0.596], [0.333, 0.667, 0.071], [0.333, 0.667, 0.262], [0.667, 0.333, 0.738], [0.667, 0.333, 0.929]]}


[4]
{"formula": "LiMgScNi", "functional": "PBE-GGA", "state": "optimized geometry", "spacegroup": "F-43m, No. 216", "formation_energy_ev_per_atom": -0.16, "cell": [[6.427, 0.000, 0.000], [0.000, 6.427, 0.000], [0.000, 0.000, 6.427]], "species": ["Li", "Li", "Li", "Li", "Mg", "Mg", "Mg", "Mg", "Sc", "Sc", "Sc", "Sc", "Ni", "Ni", "Ni", "Ni"], "frac_coords": [[0.000, 0.000, 0.000], [0.000, 0.500, 0.500], [0.500, 0.000, 0.500], [0.500, 0.500, 0.000], [0.250, 0.250, 0.750], [0.250, 0.750, 0.250], [0.750, 0.250, 0.250], [0.750, 0.750, 0.750], [0.250, 0.250, 0.250], [0.250, 0.750, 0.750], [0.750, 0.250, 0.750], [0.750, 0.750, 0.250], [0.000, 0.000, 0.500], [0.000, 0.500, 0.000], [0.500, 0.000, 0.000], [0.500, 0.500, 0.500]]}


[5]
{"formula": "BaErAg2Se4", "functional": "PBE-GGA", "state": "optimized geometry", "spacegroup": "I222, No. 23", "formation_energy_uncorrected_ev_per_atom": -1.0472, "cell": [[7.117, 0.000, 0.000], [0.000, 7.513, 0.000], [0.000, 0.000, 8.513]], "species": ["Ba", "Ba", "Er", "Er", "Ag", "Ag", "Ag", "Ag", "Se", "Se", "Se", "Se", "Se", "Se", "Se", "Se"], "frac_coords": [[0.000, 0.000, 0.000], [0.500, 0.500, 0.500], [0.000, 0.000, 0.500], [0.500, 0.500, 0.000], [0.000, 0.500, 0.186], [0.000, 0.500, 0.814], [0.500, 0.000, 0.314], [0.500, 0.000, 0.686], [0.213, 0.213, 0.311], [0.213, 0.787, 0.689], [0.287, 0.287, 0.811], [0.287, 0.713, 0.189], [0.713, 0.287, 0.189], [0.713, 0.713, 0.811], [0.787, 0.213, 0.689], [0.787, 0.787, 0.311]]}


[6]
{"formula": "SrBe2HgB", "functional": "PBE-GGA", "state": "optimized geometry", "spacegroup": "P4/mmm, No. 123", "formation_energy_ev_per_atom": 2.16, "cell": [[6.144, 0.000, 0.000], [0.000, 6.144, 0.000], [0.000, 0.000, 5.170]], "species": ["Sr", "Be", "Be", "Hg", "B"], "frac_coords": [[0.000, 0.000, 0.000], [0.000, 0.500, 0.000], [0.500, 0.000, 0.000], [0.500, 0.500, 0.500], [0.000, 0.000, 0.500]]}


[7]
{"formula": "PrEr3In2", "functional": "PBE-GGA", "state": "optimized geometry", "spacegroup": "Pmc2_1, No. 26", "formation_energy_ev_per_atom": -0.35, "e_above_lowest_polymorph_kcal_per_mol_atoms": 0.000, "cell": [[5.195, 0.000, 0.000], [0.000, 9.891, 0.000], [0.000, 0.000, 6.733]], "species": ["Pr", "Pr", "Er", "Er", "Er", "Er", "Er", "Er", "In", "In", "In", "In"], "frac_coords": [[0.000, 0.038, 0.000], [0.000, 0.962, 0.500], [0.000, 0.322, 0.636], [0.000, 0.678, 0.136], [0.500, 0.190, 0.277], [0.500, 0.459, 0.919], [0.500, 0.541, 0.419], [0.500, 0.810, 0.777], [0.000, 0.363, 0.167], [0.000, 0.637, 0.667], [0.500, 0.145, 0.743], [0.500, 0.855, 0.243]]}


[8]
{"formula": "HfMn2HOs", "functional": "PBE-GGA", "state": "optimized geometry", "spacegroup": "P4/mmm, No. 123", "e_above_lowest_polymorph_kcal_per_mol_atoms": 0.000, "cell": [[3.781, 0.000, 0.000], [0.000, 3.781, 0.000], [0.000, 0.000, 4.271]], "species": ["Hf", "Mn", "Mn", "H", "Os"], "frac_coords": [[0.000, 0.000, 0.000], [0.000, 0.500, 0.500], [0.500, 0.000, 0.500], [0.000, 0.000, 0.500], [0.500, 0.500, 0.000]]}